# NbCoAs, optimized geometry, DFT PBE
# Total DFT energy (no corrections) = -140.1 eV per cell
# Crystal system = monoclinic
# Formation enthalpy at 0 K = -0.51 eV per atom
data_NbCoAs
_chemical_formula_sum 'Nb6 Co6 As6'
_symmetry_space_group_name_H-M 'P 1 21/m 1'
_symmetry_Int_Tables_number 11
_cell_length_a 6.293
_cell_length_b 3.771
_cell_length_c 10.798
_cell_angle_alpha 90.00
_cell_angle_beta 90.47
_cell_angle_gamma 90.00
loop_
_symmetry_equiv_pos_as_xyz
'x,y,z'
'-x,-y,-z'
'-x,y+1/2,-z'
'x,-y+1/2,z'
loop_
_atom_site_label
_atom_site_type_symbol
_atom_site_fract_x
_atom_site_fract_y
_atom_site_fract_z
_atom_site_occupancy
Nb1 Nb 0.022 0.250 0.209 1
Nb2 Nb 0.349 0.750 0.577 1
Nb3 Nb 0.473 0.750 0.885 1
Co1 Co 0.011 0.250 0.587 1
Co2 Co 0.151 0.250 0.957 1
Co3 Co 0.363 0.750 0.296 1
As1 As 0.225 0.750 0.083 1
As2 As 0.229 0.250 0.411 1
As3 As 0.273 0.250 0.748 1